Record 1
Material: PrTlCdTe3
Method: DFT, PBE-GGA
State: relaxed

Cell: 9.6011 4.5930 10.5843 Å, 90.00 105.23 90.00°
With the nearest neighbours (Å) after each atom.
Fractional positions:
Pr1 0.1754 0.2500 0.1427  6 Te 3.18-3.36
Pr2 0.8246 0.7500 0.8573  6 Te 3.18-3.36
Tl1 0.2943 0.7500 0.7842  5 Te 3.43-3.62
Tl2 0.7057 0.2500 0.2158  5 Te 3.43-3.62
Cd1 0.4140 0.7500 0.3947  4 Te 2.84-2.97
Cd2 0.5860 0.2500 0.6053  4 Te 2.84-2.97
Te1 0.0483 0.2500 0.8337  3 Pr 3.18-3.20, 2 Tl 3.43
Te2 0.2727 0.2500 0.4719  3 Cd 2.89-2.97
Te3 0.4045 0.7500 0.1240  1 Cd 2.84
Te4 0.5955 0.2500 0.8760  1 Cd 2.84
Te5 0.7273 0.7500 0.5281  3 Cd 2.89-2.97
Te6 0.9517 0.7500 0.1663  3 Pr 3.18-3.20, 2 Tl 3.43

## Properties
The formation energy from raw total energies is -828 meV/atom. Its space-group type is No. 11.



Record 2
Material: PrThCd17
Method: DFT, PBE-GGA
State: relaxed

Cell: 7.6772 7.6772 7.6772 Å, 82.43 82.43 82.43°
With the nearest neighbours (Å) after each atom.
Fractional positions:
Pr1 0.0000 0.0000 0.0000  16 Cd 3.56-3.73
Th1 0.6646 0.6646 0.6646  13 Cd 3.39-3.54
Cd1 0.0324 0.3354 0.6342  8 Cd 2.91-3.19
Cd2 0.0324 0.6342 0.3354  8 Cd 2.91-3.19
Cd3 0.2013 0.6817 0.6817  9 Cd 2.87-3.19
Cd4 0.2395 0.2395 0.2395  4 Cd 2.94-2.97
Cd5 0.3177 0.3177 0.8534  10 Cd 2.91-3.25
Cd6 0.3177 0.8534 0.3177  10 Cd 2.91-3.25
Cd7 0.3354 0.0324 0.6342  8 Cd 2.91-3.19
Cd8 0.3354 0.6342 0.0324  8 Cd 2.91-3.19
Cd9 0.4380 0.4380 0.4380  7 Cd 2.97-3.25
Cd10 0.5290 0.9636 0.9636  8 Cd 2.87-3.19
Cd11 0.6342 0.0324 0.3354  8 Cd 2.91-3.19
Cd12 0.6342 0.3354 0.0324  8 Cd 2.91-3.19
Cd13 0.6817 0.2013 0.6817  9 Cd 2.87-3.19
Cd14 0.6817 0.6817 0.2013  9 Cd 2.87-3.19
Cd15 0.8534 0.3177 0.3177  10 Cd 2.91-3.25
Cd16 0.9636 0.5290 0.9636  8 Cd 2.87-3.19
Cd17 0.9636 0.9636 0.5290  8 Cd 2.87-3.19

## Properties
For the energy of formation, the calculation gives -0.1187 eV per atom. Its space-group type is No. 160.



Record 3
Material: Pr2ThCd3
Method: DFT, PBE-GGA
State: relaxed

Cell: 3.8598 3.8598 11.6565 Å, 90.00 90.00 90.00°
With the nearest neighbours (Å) after each atom.
Fractional positions:
Pr1 0.0000 0.0000 0.1688  8 Cd 3.34-3.36
Pr2 0.0000 0.0000 0.8312  8 Cd 3.34-3.36
Th1 0.0000 0.0000 0.5000  8 Cd 3.35
Cd1 0.5000 0.5000 0.0000  8 Pr 3.36
Cd2 0.5000 0.5000 0.3337  4 Pr 3.34, 4 Th 3.35
Cd3 0.5000 0.5000 0.6663  4 Pr 3.34, 4 Th 3.35

## Properties
For the energy of formation, the calculation gives -0.2245 eV per atom. Its space-group type is No. 123.



Record 4
Material: PrThCd3
Method: DFT, PBE-GGA
State: relaxed

Cell: 15.4676 15.4676 5.0996 Å, 90.00 90.00 167.29°
With the nearest neighbours (Å) after each atom.
Fractional positions:
Pr1 0.2134 0.7866 0.7500  7 Cd 3.33-3.53, 2 Pr 3.43
Pr2 0.7866 0.2134 0.2500  7 Cd 3.33-3.53, 2 Pr 3.43
Th1 0.0735 0.9265 0.2500  12 Cd 3.38-3.47, 2 Th 3.43
Th2 0.9265 0.0735 0.7500  12 Cd 3.38-3.47, 2 Th 3.43
Cd1 0.3282 0.6718 0.7500  2 Cd 3.02, 4 Pr 3.33
Cd2 0.3805 0.6195 0.2500  3 Cd 2.95-3.02
Cd3 0.4765 0.5235 0.2500  3 Cd 2.93-2.95
Cd4 0.5235 0.4765 0.7500  3 Cd 2.93-2.95
Cd5 0.6195 0.3805 0.7500  3 Cd 2.95-3.02
Cd6 0.6718 0.3282 0.2500  2 Cd 3.02, 4 Pr 3.33

## Properties
For the energy of formation, the calculation gives -0.2106 eV per atom. Its space-group type is No. 63.



Record 5
Material: Pr3ThCd4
Method: DFT, PBE-GGA
State: relaxed

Cell: 3.8699 3.8699 15.5047 Å, 90.00 90.00 90.00°
With the nearest neighbours (Å) after each atom.
Fractional positions:
Pr1 0.0000 0.0000 0.0000  8 Cd 3.36
Pr2 0.0000 0.0000 0.2524  8 Cd 3.34-3.37
Pr3 0.0000 0.0000 0.7476  8 Cd 3.34-3.37
Th1 0.0000 0.0000 0.5000  8 Cd 3.35
Cd1 0.5000 0.5000 0.1254  8 Pr 3.36-3.37
Cd2 0.5000 0.5000 0.3759  4 Pr 3.34, 4 Th 3.35
Cd3 0.5000 0.5000 0.6241  4 Pr 3.34, 4 Th 3.35
Cd4 0.5000 0.5000 0.8746  8 Pr 3.36-3.37

## Properties
For the energy of formation, the calculation gives -0.2477 eV per atom. Its space-group type is No. 123.



Record 6
Material: PrThCd4
Method: DFT, PBE-GGA
State: relaxed

Cell: 6.0066 6.0066 6.0066 Å, 60.00 60.00 60.00°
With the nearest neighbours (Å) after each atom.
Fractional positions:
Pr1 0.0000 0.0000 0.0000  12 Cd 3.52, 4 Th 3.68
Th1 0.2500 0.2500 0.2500  12 Cd 3.52, 4 Pr 3.68
Cd1 0.1246 0.6251 0.6251  6 Cd 3.00-3.01
Cd2 0.6251 0.1246 0.6251  6 Cd 3.00-3.01
Cd3 0.6251 0.6251 0.1246  6 Cd 3.00-3.01
Cd4 0.6251 0.6251 0.6251  6 Cd 3.00-3.01

## Properties
For the energy of formation, the calculation gives -0.2064 eV per atom. Its space-group type is No. 216.



One value per record, in order, for calculated total energy: -44.9; -30.0; -21.1; -32.0; -27.4; -17.1 eV per cell.
One value per record, in order, for magnetic moment: 0.00; 0.00; 0.50; 0.00; 0.73; 0.00 μB per formula unit.